# 1
Compound: CaNb2RhO
Source: Alexandria
Functional: PBE-GGA
Structure: relaxed

Unit cell a=5.0252 b=5.0252 c=3.8948 alpha=90.00 beta=90.00 gamma=90.00
Positions (direct):
Ca 0.0000 0.0000 0.0000
Nb 0.0000 0.5000 0.0000
Nb 0.5000 0.0000 0.0000
Rh 0.5000 0.5000 0.5000
O 0.0000 0.0000 0.5000

Summary:
- Total energy: -5.380 eV per atom
- ΔE_f (raw): 1510 meV/atom



# 2
Compound: RbIn2N
Source: Alexandria
Functional: PBE-GGA
Structure: relaxed

Unit cell a=6.6736 b=6.6736 c=6.6736 alpha=109.09 beta=109.09 gamma=110.23
Positions (direct):
Rb 0.0000 0.0000 0.0000
Rb 0.7500 0.2500 0.5000
In 0.2552 0.6250 0.1302
In 0.3750 0.5052 0.6302
In 0.4948 0.1250 0.8698
In 0.8750 0.7448 0.3698
N 0.2500 0.7500 0.5000
N 0.5000 0.5000 0.0000

Summary:
- Total energy: -3.296 eV per atom
- ΔE_f (raw): 396 meV/atom